Version a
The following is a GGA-PBE calculation of an optimized crystal structure of YBePd, from OQMD.

Values from the calculation:
Space group = F-43m, No. 216

Cell: 4.4504 4.4504 4.4504 Å, 60.00 60.00 60.00°
Fractional coordinates of all 3 atoms:
Y 0.0000 0.0000 0.0000
Be 0.5000 0.5000 0.5000
Pd 0.7500 0.7500 0.7500



Version b
The following is a GGA-PBE calculation of an optimized crystal structure of YBePd, from OQMD.

Values from the calculation:
Space group = F-43m, No. 216

Cell: 4.5510 4.5510 4.5510 Å, 60.00 60.00 60.00°
Fractional coordinates of all 3 atoms:
Y 0.0000 0.0000 0.0000
Be 0.7500 0.7500 0.7500
Pd 0.2500 0.2500 0.2500



version a is the most stable structure shown above.